Record 1
Material: Tl2CdAg
Method: DFT, PBE-GGA
State: optimized geometry

The total energy is -2.00 eV per atom.

The space group is C2/m (No. 12) and the conventional cell measures 6.4178, 10.5464 and 3.2872 Å, with angles of 90.00, 113.11 and 90.00 degrees. The distinct sites, in fractional coordinates, are Tl at (0.2500, 0.2500, 0.0000), Cd at (0.0000, 0.0000, 0.5000) and Ag at (0.0000, 0.5000, 0.5000).


Record 2
Material: TlCd2Ag
Method: DFT, PBE-GGA
State: optimized geometry

The total energy is -1.72 eV per atom.

The space group is Pmmm (No. 47) and the conventional cell measures 3.1881, 4.0498 and 7.2410 Å, with angles of 90.00, 90.00 and 90.00 degrees. The distinct sites, in fractional coordinates, are Tl at (0.0000, 0.0000, 0.0000), Cd at (0.5000, 0.5000, 0.2858) and Ag at (0.0000, 0.0000, 0.5000).


Record 3
Material: TlCd6Ag6
Method: DFT, PBE-GGA
State: optimized geometry

The total energy is -1.94 eV per atom.

The space group is Immm (No. 71) and the conventional cell measures 5.6728, 9.7587 and 10.0016 Å, with angles of 90.00, 90.00 and 90.00 degrees. The distinct sites, in fractional coordinates, are Tl at (0.0000, 0.0000, 0.0000), Cd at (0.0000, 0.0000, 0.3442), Cd at (0.0000, 0.3425, 0.0000), Cd at (0.0000, 0.5000, 0.3175), Ag at (0.0000, 0.2609, 0.5000) and Ag at (0.2500, 0.2500, 0.2500).


Record 4
Material: Tl2CdAg
Method: DFT, PBE-GGA
State: optimized geometry

The total energy is -2.03 eV per atom.

The space group is R-3m (No. 166, hexagonal axes) and the conventional cell measures 3.4749, 3.4749 and 28.8910 Å, with angles of 90.00, 90.00 and 120.00 degrees. The distinct sites, in fractional coordinates, are Tl at (0.0000, 0.0000, 0.2457), Cd at (0.0000, 0.0000, 0.0000) and Ag at (0.0000, 0.0000, 0.5000).


Record 5
Material: TlCd3Ag3
Method: DFT, PBE-GGA
State: optimized geometry

The total energy is -1.55 eV per atom.

The space group is Pm-3n (No. 223) and the conventional cell measures 7.6862, 7.6862 and 7.6862 Å, with angles of 90.00, 90.00 and 90.00 degrees. The distinct sites, in fractional coordinates, are Tl at (0.0000, 0.0000, 0.0000), Cd at (0.0000, 0.2500, 0.5000) and Ag at (0.0000, 0.5000, 0.2500).


Record 6
Material: Tl4CdAg
Method: DFT, PBE-GGA
State: optimized geometry

The total energy is -1.92 eV per atom.

The space group is F-43m (No. 216) and the conventional cell measures 9.0267, 9.0267 and 9.0267 Å, with angles of 90.00, 90.00 and 90.00 degrees. The distinct sites, in fractional coordinates, are Tl at (0.1247, 0.1247, 0.1247), Cd at (0.0000, 0.0000, 0.5000) and Ag at (0.2500, 0.2500, 0.7500).


Record 7
Material: Tl2CdAg
Method: DFT, PBE-GGA
State: optimized geometry

The total energy is -2.01 eV per atom.

The space group is I4/mmm (No. 139) and the conventional cell measures 4.8534, 4.8534 and 8.6587 Å, with angles of 90.00, 90.00 and 90.00 degrees. The distinct sites, in fractional coordinates, are Tl at (0.0000, 0.5000, 0.2500), Cd at (0.0000, 0.0000, 0.0000) and Ag at (0.0000, 0.0000, 0.5000).


Record 8
Material: TlCd4Ag
Method: DFT, PBE-GGA
State: optimized geometry

The total energy is -1.47 eV per atom.

The space group is Pmma (No. 51) and the conventional cell measures 9.5430, 3.7154 and 7.9893 Å, with angles of 90.00, 90.00 and 90.00 degrees. The distinct sites, in fractional coordinates, are Tl at (0.2500, 0.0000, 0.0709), Cd at (0.0000, 0.0000, 0.5000), Cd at (0.0289, 0.5000, 0.8157), Cd at (0.2500, 0.5000, 0.4062) and Ag at (0.2500, 0.0000, 0.6970).


Record 9
Material: TlCd2Ag
Method: DFT, PBE-GGA
State: optimized geometry

The total energy is -1.69 eV per atom.

The space group is R3m (No. 160, hexagonal axes) and the conventional cell measures 3.2724, 3.2724 and 29.8690 Å, with angles of 90.00, 90.00 and 120.00 degrees. The distinct sites, in fractional coordinates, are Tl at (0.0000, 0.0000, 0.0000), Cd at (0.0000, 0.0000, 0.5091), Cd at (0.0000, 0.0000, 0.7552) and Ag at (0.0000, 0.0000, 0.2509).


Record 10
Material: Tl2CdAg
Method: DFT, PBE-GGA
State: optimized geometry

The total energy is -2.00 eV per atom.

The space group is F-43m (No. 216) and the conventional cell measures 7.4074, 7.4074 and 7.4074 Å, with angles of 90.00, 90.00 and 90.00 degrees. The distinct sites, in fractional coordinates, are Tl at (0.0000, 0.0000, 0.0000), Tl at (0.2500, 0.2500, 0.2500), Cd at (0.2500, 0.2500, 0.7500) and Ag at (0.0000, 0.0000, 0.5000).


Record 11
Material: Tl2CdAg
Method: DFT, PBE-GGA
State: optimized geometry

The total energy is -1.96 eV per atom.

The space group is I-42d (No. 122) and the conventional cell measures 8.3550, 8.3550 and 6.2678 Å, with angles of 90.00, 90.00 and 90.00 degrees. The distinct sites, in fractional coordinates, are Tl at (0.2305, 0.2500, 0.1250), Cd at (0.0000, 0.0000, 0.5000) and Ag at (0.0000, 0.0000, 0.0000).


Record 12
Material: Tl2CdAg
Method: DFT, PBE-GGA
State: optimized geometry

The total energy is -2.00 eV per atom.

The space group is Cmmm (No. 65) and the conventional cell measures 4.3857, 4.7380 and 9.9891 Å, with angles of 90.00, 90.00 and 90.00 degrees. The distinct sites, in fractional coordinates, are Tl at (0.0000, 0.0000, 0.2280), Cd at (0.0000, 0.5000, 0.5000) and Ag at (0.0000, 0.5000, 0.0000).


Record 13
Material: TlCd2Ag
Method: DFT, PBE-GGA
State: optimized geometry

The total energy is -1.70 eV per atom.

The space group is Pmm2 (No. 25) and the conventional cell measures 3.2001, 4.0812 and 7.1649 Å, with angles of 90.00, 90.00 and 90.00 degrees. The distinct sites, in fractional coordinates, are Tl at (0.0000, 0.0000, 0.0000), Cd at (0.0000, 0.0000, 0.4668), Cd at (0.5000, 0.5000, 0.7132) and Ag at (0.5000, 0.5000, 0.2667).


Record 14
Material: Tl2Cd4Ag
Method: DFT, PBE-GGA
State: optimized geometry

The total energy is -1.40 eV per atom.

The space group is I4/mmm (No. 139) and the conventional cell measures 5.3210, 5.3210 and 15.3474 Å, with angles of 90.00, 90.00 and 90.00 degrees. The distinct sites, in fractional coordinates, are Tl at (0.0000, 0.0000, 0.1266), Cd at (0.0000, 0.0000, 0.3208), Cd at (0.0000, 0.5000, 0.0000) and Ag at (0.0000, 0.0000, 0.5000).


Record 15
Material: TlCdAg4
Method: DFT, PBE-GGA
State: optimized geometry

The total energy is -2.38 eV per atom.

The space group is F-43m (No. 216) and the conventional cell measures 7.9631, 7.9631 and 7.9631 Å, with angles of 90.00, 90.00 and 90.00 degrees. The distinct sites, in fractional coordinates, are Tl at (0.0000, 0.0000, 0.0000), Cd at (0.2500, 0.2500, 0.2500) and Ag at (0.1248, 0.1248, 0.6248).


Record 16
Material: TlCd2Ag
Method: DFT, PBE-GGA
State: optimized geometry

The total energy is -1.70 eV per atom.

The space group is Immm (No. 71) and the conventional cell measures 3.1041, 5.4188 and 11.2131 Å, with angles of 90.00, 90.00 and 90.00 degrees. The distinct sites, in fractional coordinates, are Tl at (0.0000, 0.0000, 0.0000), Cd at (0.0000, 0.5000, 0.2227) and Ag at (0.0000, 0.0000, 0.5000).


Record 17
Material: Tl2CdAg
Method: DFT, PBE-GGA
State: optimized geometry

The total energy is -2.05 eV per atom.

The space group is R3m (No. 160, hexagonal axes) and the conventional cell measures 3.5013, 3.5013 and 29.0462 Å, with angles of 90.00, 90.00 and 120.00 degrees. The distinct sites, in fractional coordinates, are Tl at (0.0000, 0.0000, 0.0000), Tl at (0.0000, 0.0000, 0.2352), Cd at (0.0000, 0.0000, 0.4823) and Ag at (0.0000, 0.0000, 0.7448).


Record 18
Material: TlCd2Ag
Method: DFT, PBE-GGA
State: optimized geometry

The total energy is -1.36 eV per atom.

The space group is I-42d (No. 122) and the conventional cell measures 6.6537, 6.6537 and 13.0667 Å, with angles of 90.00, 90.00 and 90.00 degrees. The distinct sites, in fractional coordinates, are Tl at (0.0000, 0.0000, 0.0000), Cd at (0.2129, 0.2500, 0.6250) and Ag at (0.0000, 0.0000, 0.5000).


Record 19
Material: Tl2CdAg
Method: DFT, PBE-GGA
State: optimized geometry

The total energy is -2.00 eV per atom.

The space group is P2/m (No. 10) and the conventional cell measures 3.3204, 5.2124 and 5.9485 Å, with angles of 90.00, 97.44 and 90.00 degrees. The distinct sites, in fractional coordinates, are Tl at (0.2346, 0.0000, 0.2566), Cd at (0.5000, 0.5000, 0.0000) and Ag at (0.0000, 0.5000, 0.5000).


Record 20
Material: Tl3Cd9Ag2
Method: DFT, PBE-GGA
State: optimized geometry

The total energy is -1.47 eV per atom.

The space group is Immm (No. 71) and the conventional cell measures 4.9434, 11.1289 and 12.4371 Å, with angles of 90.00, 90.00 and 90.00 degrees. The distinct sites, in fractional coordinates, are Tl at (0.0000, 0.0000, 0.0000), Tl at (0.0000, 0.0000, 0.2806), Cd at (0.0000, 0.2827, 0.1391), Cd at (0.0000, 0.3655, 0.3694), Cd at (0.0000, 0.5000, 0.0000) and Ag at (0.0000, 0.1441, 0.5000).